1.
Computed, not measured: a geometry-optimized Al2ReTc2 structure at the GGA-PBE level of DFT.

Results
* polymorph energy (0 for the lowest one): 0.0933 eV/atom
* ΔH_f (0 K): -3.7 kJ/mol of atoms
* electronic total energy: -8.17 eV per atom

Cell lengths 6.803, 6.803, 3.100 Å; angles 90.00, 90.00, 90.00 degrees
Space group P4/mbm (No. 127)
One atom of each set of equivalent atoms:
1 Al 0.134 0.366 0.000
2 Re 0.000 0.000 0.000
3 Tc 0.165 0.665 0.500

2.
Computed, not measured: a geometry-optimized Al2ReTc structure at the GGA-PBE level of DFT.

Results
* polymorph energy (0 for the lowest one): 0.1496 eV/atom
* ΔH_f (0 K): -20.7 kJ/mol of atoms
* electronic total energy: -7.79 eV per atom

Cell lengths 3.041, 4.285, 8.922 Å; angles 90.00, 90.00, 90.00 degrees
Space group Imm2 (No. 44)
One atom of each set of equivalent atoms:
1 Al 0.000 0.000 0.000
2 Al 0.000 0.500 0.228
3 Re 0.000 0.500 0.746
4 Tc 0.000 0.000 0.485